The following is a DFT calculation (meta-GGA SCAN) of a crystal of ZnTc3Bi relaxed with PBEsol.

Cell lengths 4.5211, 4.5211, 4.5211 Å; angles 90.00, 90.00, 90.00 degrees
Closest atoms and distances in Å follow each position.
Space group Pm-3m (No. 221)
Symmetry-distinct sites (fractional):
Zn 0.0000 0.0000 0.0000 (multiplicity 1)  6 Tc 2.26
Tc 0.0000 0.0000 0.5000 (multiplicity 3)  2 Zn 2.26
Bi 0.5000 0.5000 0.5000 (multiplicity 1)  12 Tc 3.20

Results
**Density of states at the Fermi level**: 0.78 states/eV/atom
**Formation energy from the elements**: 1.496 eV/atom

***

The following is a DFT calculation (meta-GGA SCAN) of a crystal of Li3MgSn relaxed with PBEsol.

Cell lengths 4.8675, 4.8675, 4.8675 Å; angles 90.00, 90.00, 90.00 degrees
Closest atoms and distances in Å follow each position.
Space group Pm-3m (No. 221)
Symmetry-distinct sites (fractional):
Li 0.0000 0.0000 0.5000 (multiplicity 3)  2 Mg 2.43
Mg 0.0000 0.0000 0.0000 (multiplicity 1)  6 Li 2.43
Sn 0.5000 0.5000 0.5000 (multiplicity 1)  12 Li 3.44

Results
**Density of states at the Fermi level**: 0.29 states/eV/atom
**Formation energy from the elements**: 0.341 eV/atom

***

The following is a DFT calculation (meta-GGA SCAN) of a crystal of Ta2NiPt relaxed with PBEsol.

Cell lengths 3.8739, 3.8739, 7.9611 Å; angles 90.00, 90.00, 90.00 degrees
Closest atoms and distances in Å follow each position.
Space group I4/mmm (No. 139)
Symmetry-distinct sites (fractional):
Ta 0.0000 0.5000 0.2500 (multiplicity 4)  4 Ta 2.74, 4 Ni 2.78, 4 Pt 2.78
Ni 0.0000 0.0000 0.0000 (multiplicity 2)  4 Pt 2.74, 8 Ta 2.78
Pt 0.0000 0.0000 0.5000 (multiplicity 2)  4 Ni 2.74, 8 Ta 2.78

Results
**Density of states at the Fermi level**: 0.61 states/eV/atom
**Formation energy from the elements**: -0.510 eV/atom

***

The following is a DFT calculation (meta-GGA SCAN) of a crystal of LiNbTlCr2 relaxed with PBEsol.

Cell lengths 4.2755, 4.2755, 4.3830 Å; angles 90.00, 90.00, 90.00 degrees
Closest atoms and distances in Å follow each position.
Space group P4/mmm (No. 123)
Symmetry-distinct sites (fractional):
Li 0.0000 0.0000 0.0000 (multiplicity 1)  4 Cr 2.14, 2 Nb 2.19
Nb 0.0000 0.0000 0.5000 (multiplicity 1)  2 Li 2.19
Tl 0.5000 0.5000 0.5000 (multiplicity 1)  4 Nb 3.02, 8 Cr 3.06
Cr 0.0000 0.5000 0.0000 (multiplicity 2)  2 Li 2.14

Results
**Density of states at the Fermi level**: 0.81 states/eV/atom
**Formation energy from the elements**: 1.001 eV/atom

***

The following is a DFT calculation (meta-GGA SCAN) of a crystal of Cs3PO4 relaxed with PBEsol.

Cell lengths 12.1278, 8.8376, 6.4207 Å; angles 90.00, 90.00, 90.00 degrees
Closest atoms and distances in Å follow each position.
Space group Pnma (No. 62)
Symmetry-distinct sites (fractional):
Cs 0.0748 0.2500 0.1394 (multiplicity 4)  6 O 2.89-3.16
Cs 0.1454 0.0079 0.6854 (multiplicity 8)  6 O 2.98-3.22
P 0.1126 0.7500 0.2750 (multiplicity 4)  4 O 1.56-1.57
O 0.0140 0.7500 0.4327 (multiplicity 4)  1 P 1.57
O 0.1061 0.6049 0.1365 (multiplicity 8)  1 P 1.56
O 0.2230 0.7500 0.4008 (multiplicity 4)  1 P 1.56

Results
**E_form (uncorrected)**: -2.40 eV/atom
**Density of states at the Fermi level**: 0.00 states/eV/atom

***

The following is a DFT calculation (meta-GGA SCAN) of a crystal of Cd2Rh relaxed with PBEsol.

Cell lengths 11.9967, 11.9967, 11.9967 Å; angles 90.00, 90.00, 90.00 degrees
Closest atoms and distances in Å follow each position.
Space group Fd-3m (No. 227, origin choice 2)
Symmetry-distinct sites (fractional):
Cd 0.0000 0.0000 0.0000 (multiplicity 16)  6 Rh 2.64
Cd 0.0664 0.3750 0.8750 (multiplicity 48)  4 Rh 2.76-3.04, 2 Cd 3.06
Rh 0.0363 0.0363 0.2137 (multiplicity 32)  6 Cd 2.64-2.76

Results
**Density of states at the Fermi level**: 0.28 states/eV/atom
**Formation energy from the elements**: -0.115 eV/atom

***

The following is a DFT calculation (meta-GGA SCAN) of a crystal of ScOsPt2S relaxed with PBEsol.

Cell lengths 4.9468, 4.9468, 4.2043 Å; angles 90.00, 90.00, 90.00 degrees
Closest atoms and distances in Å follow each position.
Space group P4/mmm (No. 123)
Symmetry-distinct sites (fractional):
Sc 0.0000 0.0000 0.0000 (multiplicity 1)  8 Pt 3.25, 4 S 3.50
Os 0.5000 0.5000 0.5000 (multiplicity 1)  2 S 2.10
Pt 0.0000 0.5000 0.5000 (multiplicity 2)  2 Os 2.47
S 0.5000 0.5000 0.0000 (multiplicity 1)  2 Os 2.10

Results
**E_form (uncorrected)**: 0.35 eV/atom
**Density of states at the Fermi level**: 0.78 states/eV/atom

***

The following is a DFT calculation (meta-GGA SCAN) of a crystal of HfAuS2 relaxed with PBEsol.

Cell lengths 5.8033, 5.8033, 10.6716 Å; angles 90.00, 90.00, 90.00 degrees
Closest atoms and distances in Å follow each position.
Space group I-42d (No. 122)
Symmetry-distinct sites (fractional):
Hf 0.0000 0.0000 0.0000 (multiplicity 4)  4 S 2.42
Au 0.0000 0.0000 0.5000 (multiplicity 4)  4 S 2.47
S 0.2421 0.2500 0.1250 (multiplicity 8)  2 Hf 2.42, 2 Au 2.47

Results
**E_form (uncorrected)**: -0.65 eV/atom
**Density of states at the Fermi level**: 0.67 states/eV/atom

***

The following is a DFT calculation (meta-GGA SCAN) of a crystal of CaZrAg2Pt relaxed with PBEsol.

Cell lengths 5.1423, 5.1423, 4.7941 Å; angles 90.00, 90.00, 90.00 degrees
Closest atoms and distances in Å follow each position.
Space group P4/mmm (No. 123)
Symmetry-distinct sites (fractional):
Ca 0.0000 0.0000 0.0000 (multiplicity 1)  8 Ag 3.52, 4 Zr 3.64
Zr 0.5000 0.5000 0.0000 (multiplicity 1)  2 Pt 2.40
Ag 0.0000 0.5000 0.5000 (multiplicity 2)  2 Pt 2.57
Pt 0.5000 0.5000 0.5000 (multiplicity 1)  2 Zr 2.40, 4 Ag 2.57

Results
**Density of states at the Fermi level**: 0.71 states/eV/atom
**Formation energy from the elements**: 0.088 eV/atom

***

The following is a DFT calculation (meta-GGA SCAN) of a crystal of PRu2W relaxed with PBEsol.

Cell lengths 2.8125, 3.7201, 5.2038 Å; angles 90.00, 90.00, 90.00 degrees
Closest atoms and distances in Å follow each position.
Space group Pmmm (No. 47)
Symmetry-distinct sites (fractional):
P 0.0000 0.0000 0.0000 (multiplicity 1)  2 W 2.60, 8 Ru 2.66, 2 P 2.81
Ru 0.5000 0.5000 0.2452 (multiplicity 2)  4 Ru 2.55-2.81, 4 P 2.66, 4 W 2.68
W 0.0000 0.0000 0.5000 (multiplicity 1)  2 P 2.60, 8 Ru 2.68, 2 W 2.81

Results
**Density of states at the Fermi level**: 0.78 states/eV/atom
**Formation energy from the elements**: 0.071 eV/atom

***

The following is a DFT calculation (meta-GGA SCAN) of a crystal of Ru2PbW relaxed with PBEsol.

Cell lengths 3.0137, 3.0229, 7.5053 Å; angles 90.00, 97.47, 90.00 degrees
Closest atoms and distances in Å follow each position.
Space group P2/m (No. 10)
Symmetry-distinct sites (fractional):
Ru 0.0828 0.0000 0.2057 (multiplicity 2)  4 W 2.60-2.65, 2 Pb 2.83
Pb 0.5000 0.5000 0.5000 (multiplicity 1)  4 Ru 2.83, 4 Pb 3.01-3.02
W 0.5000 0.5000 0.0000 (multiplicity 1)  8 Ru 2.60-2.65

Results
**Density of states at the Fermi level**: 0.57 states/eV/atom
**Formation energy from the elements**: 0.277 eV/atom

***

The following is a DFT calculation (meta-GGA SCAN) of a crystal of NaCa3C relaxed with PBEsol.

Cell lengths 5.8605, 5.8605, 5.8605 Å; angles 90.00, 90.00, 90.00 degrees
Closest atoms and distances in Å follow each position.
Space group Pm-3m (No. 221)
Symmetry-distinct sites (fractional):
Na 0.0000 0.0000 0.0000 (multiplicity 1)  6 Ca 2.93
Ca 0.0000 0.0000 0.5000 (multiplicity 3)  2 Na 2.93
C 0.5000 0.5000 0.5000 (multiplicity 1)  12 Ca 4.14

Results
**Density of states at the Fermi level**: 0.77 states/eV/atom
**Formation energy from the elements**: 1.763 eV/atom

***

The following is a DFT calculation (meta-GGA SCAN) of a crystal of SrCrIr2 relaxed with PBEsol.

Cell lengths 2.7797, 2.7797, 28.4325 Å; angles 90.00, 90.00, 120.00 degrees
Closest atoms and distances in Å follow each position.
Space group R-3m (No. 166, hexagonal axes)
Symmetry-distinct sites (fractional):
Sr 0.0000 0.0000 0.0000 (multiplicity 3)  6 Sr 2.78
Cr 0.0000 0.0000 0.5000 (multiplicity 3)  6 Ir 2.55, 6 Cr 2.78
Ir 0.0000 0.0000 0.2365 (multiplicity 6)  3 Cr 2.55, 6 Ir 2.78

Results
**Density of states at the Fermi level**: 1.07 states/eV/atom
**Formation energy from the elements**: 0.484 eV/atom

***

The following is a DFT calculation (meta-GGA SCAN) of a crystal of CdSbMo relaxed with PBEsol.

Cell lengths 3.6609, 4.7378, 14.4085 Å; angles 90.00, 90.00, 90.00 degrees
Closest atoms and distances in Å follow each position.
Space group Fmm2 (No. 42)
Symmetry-distinct sites (fractional):
Cd 0.0000 0.0000 0.0000 (multiplicity 4)  2 Mo 2.83, 4 Cd 2.99
Sb 0.0000 0.0000 0.7101 (multiplicity 4)  2 Mo 2.72, 4 Sb 2.99
Mo 0.0000 0.0000 0.3499 (multiplicity 4)  2 Sb 2.72, 2 Cd 2.83, 4 Mo 2.99

Results
**E_form (uncorrected)**: 0.50 eV/atom
**Density of states at the Fermi level**: 0.72 states/eV/atom

***

The following is a DFT calculation (meta-GGA SCAN) of a crystal of KTlCr relaxed with PBEsol.

Cell lengths 7.3683, 7.3683, 7.3683 Å; angles 90.00, 90.00, 90.00 degrees
Closest atoms and distances in Å follow each position.
Space group F-43m (No. 216)
Symmetry-distinct sites (fractional):
K 0.0000 0.0000 0.0000 (multiplicity 4)  4 Tl 3.19
Tl 0.2500 0.2500 0.7500 (multiplicity 4)  4 Cr 3.19, 4 K 3.19
Cr 0.0000 0.0000 0.5000 (multiplicity 4)  4 Tl 3.19

Results
**Density of states at the Fermi level**: 0.65 states/eV/atom
**Formation energy from the elements**: 0.579 eV/atom

***

The following is a DFT calculation (meta-GGA SCAN) of a crystal of SrCd2Tc relaxed with PBEsol.

Cell lengths 7.0178, 7.0178, 7.0178 Å; angles 90.00, 90.00, 90.00 degrees
Closest atoms and distances in Å follow each position.
Space group F-43m (No. 216)
Symmetry-distinct sites (fractional):
Sr 0.0000 0.0000 0.0000 (multiplicity 4)  4 Cd 3.04, 4 Tc 3.04
Cd 0.0000 0.0000 0.5000 (multiplicity 4)  4 Tc 3.04, 4 Cd 3.04
Cd 0.2500 0.2500 0.2500 (multiplicity 4)  4 Cd 3.04, 4 Sr 3.04
Tc 0.2500 0.2500 0.7500 (multiplicity 4)  4 Cd 3.04, 4 Sr 3.04

Results
**Density of states at the Fermi level**: 1.60 states/eV/atom
**Formation energy from the elements**: 0.598 eV/atom

***

The following is a DFT calculation (meta-GGA SCAN) of a crystal of Ba2Ta15O32 relaxed with PBEsol.

Cell lengths 7.7706, 7.7706, 35.5953 Å; angles 90.00, 90.00, 120.00 degrees
Closest atoms and distances in Å follow each position.
Space group R-3 (No. 148, hexagonal axes)
Symmetry-distinct sites (fractional):
Ba 0.0000 0.0000 0.1397 (multiplicity 6)  12 O 2.89-3.12
Ta 0.0000 0.0000 0.3613 (multiplicity 6)  6 O 1.94-2.06
Ta 0.0000 0.0000 0.5000 (multiplicity 3)  6 O 1.99
Ta 0.0259 0.8085 0.0324 (multiplicity 18)  5 O 2.03-2.19
Ta 0.0703 0.5963 0.9008 (multiplicity 18)  6 O 1.90-2.09
O 0.0000 0.0000 0.2623 (multiplicity 6)  3 Ta 2.09
O 0.0144 0.7972 0.5317 (multiplicity 18)  2 Ta 1.90-1.99
O 0.0319 0.7961 0.9316 (multiplicity 18)  3 Ta 2.04-2.12
O 0.0594 0.8234 0.3960 (multiplicity 18)  3 Ta 1.96-2.19
O 0.0588 0.8242 0.7935 (multiplicity 18)  2 Ta 1.98-2.03
O 0.0674 0.8287 0.6671 (multiplicity 18)  3 Ta 1.94-2.11

Results
**E_form (uncorrected)**: -2.97 eV/atom
**Density of states at the Fermi level**: 0.15 states/eV/atom

***

The following is a DFT calculation (meta-GGA SCAN) of a crystal of KSrY2 relaxed with PBEsol.

Cell lengths 3.6126, 6.4458, 6.7280 Å; angles 90.00, 96.31, 90.00 degrees
Closest atoms and distances in Å follow each position.
Space group P2/m (No. 10)
Symmetry-distinct sites (fractional):
K 0.0000 0.0000 0.0000 (multiplicity 1)  2 K 3.61, 4 Sr 3.64-3.99, 4 Y 3.83
Sr 0.5000 0.0000 0.5000 (multiplicity 1)  2 Sr 3.61, 4 K 3.64-3.99, 4 Y 3.76
Y 0.2384 0.5000 0.7349 (multiplicity 2)  3 Y 3.43-3.61, 2 Sr 3.76, 2 K 3.83

Results
**Density of states at the Fermi level**: 1.27 states/eV/atom
**Formation energy from the elements**: 0.438 eV/atom

***

The following is a DFT calculation (meta-GGA SCAN) of a crystal of BaY relaxed with PBEsol.

Cell lengths 3.7589, 3.7589, 5.6088 Å; angles 90.00, 90.00, 90.00 degrees
Closest atoms and distances in Å follow each position.
Space group P4/mmm (No. 123)
Symmetry-distinct sites (fractional):
Ba 0.0000 0.0000 0.0000 (multiplicity 1)  4 Ba 3.76, 8 Y 3.86
Y 0.5000 0.5000 0.5000 (multiplicity 1)  4 Y 3.76, 8 Ba 3.86

Results
**Density of states at the Fermi level**: 1.76 states/eV/atom
**Formation energy from the elements**: 0.372 eV/atom

***

The following is a DFT calculation (meta-GGA SCAN) of a crystal of Li5NiO4 relaxed with PBEsol.

Cell lengths 4.7175, 8.4761, 9.3281 Å; angles 90.00, 90.00, 90.00 degrees
Closest atoms and distances in Å follow each position.
Space group Aea2 (No. 41)
Symmetry-distinct sites (fractional):
Li 0.0000 0.0000 0.0000 (multiplicity 4)  4 O 1.94-1.99
Li 0.0312 0.2034 0.7636 (multiplicity 8)  4 O 1.91-2.05
Li 0.0544 0.2115 0.5149 (multiplicity 8)  4 O 1.88-2.07
Ni 0.0000 0.0000 0.2747 (multiplicity 4)  4 O 1.86-1.88
O 0.1631 0.1408 0.1424 (multiplicity 8)  1 Ni 1.88, 5 Li 1.88-2.01
O 0.2312 0.3703 0.8859 (multiplicity 8)  1 Ni 1.86, 5 Li 1.92-2.07

Results
**E_form (uncorrected)**: -1.80 eV/atom